DFT (PBE) results for a relaxed Na2AgAuCl6 crystal.

Structure (extended XYZ):
```
10
Lattice="-3.970 -5.922 -2.436 -1.577 -5.184 4.065 -6.723 -0.219 2.738" Properties=species:S:1:pos:R:3 pbc="T T T"
Cl -6.029 -2.894 3.933
Cl -6.697 -8.660 1.012
Cl -8.047 -6.033 3.909
Cl -7.889 -4.758 0.531
Cl -3.914 -6.446 3.954
Cl -4.597 -4.728 -0.030
Au -8.098 -9.311 2.787
Na -5.911 -6.103 2.157
Na -6.450 -0.385 2.545
Ag -1.942 -3.554 0.531
```

Output
Total magnetic moment ... 0.00 μB/f.u.
Uncorrected formation energy ... -0.922 eV/atom
Space-group type ... P1, No. 1

---

DFT (PBE) results for a relaxed BaAgO3 crystal.

Structure (extended XYZ):
```
20
Lattice="-2.310 3.631 -8.784 -6.291 -1.597 -2.382 -3.835 2.225 5.305" Properties=species:S:1:pos:R:3 pbc="T T T"
O -8.518 0.209 1.595
O -7.400 3.479 -5.649
O -3.918 4.050 -7.456
O -10.423 1.923 -0.051
O -2.013 2.336 -5.810
O -3.796 -0.816 -1.310
O -5.036 0.780 -0.212
O -4.115 2.319 -2.674
O -7.654 3.154 -0.724
O -8.639 5.075 -4.551
O -4.782 1.105 -5.137
O -8.321 1.940 -3.187
Ba -6.316 2.257 1.559
Ba -6.173 0.261 -2.680
Ba -6.263 3.998 -3.181
Ba -6.120 2.002 -7.420
Ag -2.891 1.968 1.905
Ag -3.591 2.165 -0.562
Ag -9.545 2.291 -7.766
Ag -8.845 2.094 -5.299
```

Output
Density of states at the Fermi level ... 0.000 states/eV/atom
Total magnetic moment ... 0.00 μB/f.u.
Uncorrected formation energy ... -0.970 eV/atom
Space-group type ... C2/c, No. 15

---

DFT (PBE) results for a relaxed KV2Co crystal.

Structure (extended XYZ):
```
8
Lattice="5.421 0.000 0.000 0.000 5.421 0.000 2.710 2.710 7.301" Properties=species:S:1:pos:R:3 pbc="T T T"
V 6.776 2.710 5.476
V 5.421 1.355 1.825
V 4.065 2.710 5.476
V 5.421 4.065 1.825
K 2.710 2.710 0.000
K 2.710 5.421 3.650
Co 5.421 2.710 3.650
Co 0.000 0.000 0.000
```

Output
Energy of formation from the pure elements ... 1.389 eV per atom
Density of states at the Fermi level ... 2.129 states/eV/atom
Total magnetic moment ... 4.19 μB/f.u.
Space-group type ... I4_1/amd, No. 141

---

DFT (PBE) results for a relaxed Ce4OsAu2 crystal.

Structure (extended XYZ):
```
14
Lattice="4.182 0.000 0.000 0.000 7.602 0.000 0.000 0.000 12.497" Properties=species:S:1:pos:R:3 pbc="T T T"
Os 0.000 3.801 0.000
Os 0.000 0.000 6.248
Ce 2.091 5.595 0.605
Ce 0.000 4.762 9.947
Ce 0.000 2.840 2.549
Ce 2.091 1.794 5.643
Ce 2.091 5.808 6.854
Ce 0.000 6.641 3.699
Ce 0.000 0.961 8.798
Ce 2.091 2.007 11.891
Au 2.091 3.130 8.469
Au 2.091 4.472 4.027
Au 2.091 0.671 2.221
Au 2.091 6.931 10.276
```

Output
Energy of formation from the pure elements ... -0.376 eV per atom
Density of states at the Fermi level ... 3.273 states/eV/atom
Total magnetic moment ... 3.24 μB/f.u.
Space-group type ... Pbam, No. 55

---

DFT (PBE) results for a relaxed KCePdO4 crystal.

Structure (extended XYZ):
```
14
Lattice="-1.379 6.338 0.192 -5.357 -4.480 -0.251 3.967 0.683 5.951" Properties=species:S:1:pos:R:3 pbc="T T T"
O -2.784 -2.099 4.265
O 0.014 4.640 1.626
O -1.924 -0.477 1.932
O 0.580 2.037 1.548
O -0.485 -0.229 4.091
O -3.350 0.504 4.343
O -0.846 3.018 3.959
O -2.285 2.770 1.800
Ce 1.294 3.510 3.071
Ce -0.689 3.169 0.096
K 1.721 0.213 5.333
K -4.491 2.328 0.558
Pd -0.695 -1.898 2.850
Pd -1.385 1.271 2.945
```

Output
Density of states at the Fermi level ... 0.010 states/eV/atom
Total magnetic moment ... 1.01 μB/f.u.
Uncorrected formation energy ... -1.796 eV/atom
Space-group type ... Imma, No. 74

---

DFT (PBE) results for a relaxed H2S2F crystal.

Structure (extended XYZ):
```
5
Lattice="3.699 0.000 0.000 0.000 3.699 0.000 1.850 1.850 4.107" Properties=species:S:1:pos:R:3 pbc="T T T"
H 1.850 1.850 1.567
H 3.699 3.699 2.540
F 0.000 0.000 0.000
S 3.699 1.850 2.053
S 1.850 3.699 2.053
```

Output
Density of states at the Fermi level ... 0.495 states/eV/atom
Total magnetic moment ... 0.62 μB/f.u.
E ... -13.9 eV per cell
Space-group type ... I4/mmm, No. 139

---

DFT (PBE) results for a relaxed SrAcAg crystal.

Structure (extended XYZ):
```
3
Lattice="-3.239 4.414 -0.633 -5.273 -0.201 1.590 -1.659 2.856 4.412" Properties=species:S:1:pos:R:3 pbc="T T T"
Ac 0.000 0.000 0.000
Ag -2.543 1.767 1.342
Sr -5.085 3.534 2.685
```

Output
Energy of formation from the pure elements ... -0.007 eV per atom
Density of states at the Fermi level ... 1.622 states/eV/atom
Total magnetic moment ... 0.00 μB/f.u.
Space-group type ... F-43m, No. 216

---

DFT (PBE) results for a relaxed WAu2 crystal.

Structure (extended XYZ):
```
3
Lattice="-2.180 -0.922 4.266 -3.414 -2.610 -2.308 1.500 -2.216 0.288" Properties=species:S:1:pos:R:3 pbc="T T T"
Au -0.340 -1.569 2.277
Au -0.957 -2.413 -1.010
W 0.000 0.000 0.000
```

Output
Energy of formation from the pure elements ... 0.568 eV per atom
Density of states at the Fermi level ... 0.821 states/eV/atom
Total magnetic moment ... 0.00 μB/f.u.
Space-group type ... P4/mmm, No. 123

---

DFT (PBE) results for a relaxed Y5GaSe5 crystal.

Structure (extended XYZ):
```
11
Lattice="-3.847 -0.778 -4.263 6.802 -0.325 -2.140 -1.881 -7.381 3.044" Properties=species:S:1:pos:R:3 pbc="T T T"
Se 2.911 -1.672 -2.322
Se -1.838 -6.812 -1.038
Se -0.941 -3.691 1.522
Se 1.948 -5.383 -0.776
Se -0.874 -3.101 -2.584
Ga 0.000 0.000 0.000
Y 1.070 -2.141 -4.514
Y 0.105 -5.795 -2.977
Y -1.924 -0.389 -2.132
Y 0.968 -2.689 -0.383
Y 0.004 -6.343 1.154
```

Output
Density of states at the Fermi level ... 0.202 states/eV/atom
Total magnetic moment ... 0.00 μB/f.u.
Uncorrected formation energy ... -1.651 eV/atom
Space-group type ... C2/m, No. 12

---

DFT (PBE) results for a relaxed ZnBPCl2 crystal.

Structure (extended XYZ):
```
5
Lattice="4.317 0.000 0.000 0.000 4.317 0.000 0.000 0.000 4.456" Properties=species:S:1:pos:R:3 pbc="T T T"
Zn 2.159 2.159 2.228
B 0.000 0.000 0.000
Cl 2.159 0.000 0.000
Cl 0.000 2.159 0.000
P 0.000 0.000 2.228
```

Output
Density of states at the Fermi level ... 0.585 states/eV/atom
Total magnetic moment ... 0.00 μB/f.u.
Uncorrected formation energy ... 0.580 eV/atom
Space-group type ... P4/mmm, No. 123

---

DFT (PBE) results for a relaxed PrSm2ErSe4 crystal.

Structure (extended XYZ):
```
8
Lattice="4.103 0.000 0.000 0.000 7.173 -0.162 0.000 2.509 6.888" Properties=species:S:1:pos:R:3 pbc="T T T"
Er 0.000 4.841 3.363
Se 2.051 5.988 1.683
Se 0.000 7.241 4.974
Se 2.051 3.694 5.042
Se 4.103 2.441 1.752
Pr 2.051 6.096 6.807
Sm 2.051 1.255 3.444
Sm 0.000 2.509 6.888
```

Output
Density of states at the Fermi level ... 0.553 states/eV/atom
Total magnetic moment ... 0.00 μB/f.u.
Uncorrected formation energy ... -1.785 eV/atom
Space-group type ... P2/m, No. 10

---

DFT (PBE) results for a relaxed Rb2MnGaSn crystal.

Structure (extended XYZ):
```
5
Lattice="6.475 0.000 0.000 0.000 4.684 0.000 0.000 0.000 6.475" Properties=species:S:1:pos:R:3 pbc="T T T"
Mn 0.000 2.342 0.000
Rb 0.000 0.000 3.237
Rb 3.237 0.000 0.000
Ga 0.000 0.000 0.000
Sn 3.237 2.342 3.237
```

Output
Energy of formation from the pure elements ... 0.622 eV per atom
Density of states at the Fermi level ... 0.961 states/eV/atom
Total magnetic moment ... 2.61 μB/f.u.
Space-group type ... P4/mmm, No. 123

---

DFT (PBE) results for a relaxed CaIrSe2N crystal.

Structure (extended XYZ):
```
5
Lattice="5.309 0.000 0.000 0.000 5.309 0.000 0.000 0.000 3.949" Properties=species:S:1:pos:R:3 pbc="T T T"
Ca 0.000 0.000 0.000
Ir 2.655 2.655 1.975
N 0.000 0.000 1.975
Se 0.000 2.655 0.000
Se 2.655 0.000 0.000
```

Output
Density of states at the Fermi level ... 1.882 states/eV/atom
Total magnetic moment ... 0.24 μB/f.u.
Uncorrected formation energy ... 1.581 eV/atom
Space-group type ... P4/mmm, No. 123

---

DFT (PBE) results for a relaxed ErSc3Co2 crystal.

Structure (extended XYZ):
```
12
Lattice="-3.085 0.319 -2.197 3.973 -6.882 -3.289 -5.104 -0.787 7.051" Properties=species:S:1:pos:R:3 pbc="T T T"
Co -1.618 -4.382 -1.651
Co -2.221 0.055 -0.161
Co -2.597 -2.968 3.216
Co -1.994 -7.405 1.725
Sc -0.802 -6.819 -3.150
Sc -3.413 -0.531 4.715
Sc -3.192 -2.470 0.836
Sc -1.023 -4.880 0.729
Sc -5.081 -2.765 3.445
Sc 0.866 -4.585 -1.881
Er -0.033 -1.808 -0.216
Er -4.182 -5.542 1.781
```

Output
Energy of formation from the pure elements ... -0.208 eV per atom
Density of states at the Fermi level ... 0.867 states/eV/atom
Total magnetic moment ... 0.00 μB/f.u.
Space-group type ... C2/m, No. 12

---

DFT (PBE) results for a relaxed SrTi2InIr crystal.

Structure (extended XYZ):
```
5
Lattice="4.948 0.000 0.000 0.000 5.212 0.000 0.000 0.000 4.948" Properties=species:S:1:pos:R:3 pbc="T T T"
Sr 2.474 2.606 2.474
Ti 0.000 0.000 2.474
Ti 2.474 0.000 0.000
In 0.000 2.606 0.000
Ir 0.000 0.000 0.000
```

Output
Energy of formation from the pure elements ... 0.091 eV per atom
Density of states at the Fermi level ... 1.468 states/eV/atom
Total magnetic moment ... 2.45 μB/f.u.
Space-group type ... P4/mmm, No. 123

---

DFT (PBE) results for a relaxed Y2ZrMn crystal.

Structure (extended XYZ):
```
4
Lattice="0.000 3.577 3.577 3.577 0.000 3.577 3.577 3.577 0.000" Properties=species:S:1:pos:R:3 pbc="T T T"
Y 1.788 1.788 1.788
Y 5.365 5.365 5.365
Mn 0.000 0.000 0.000
Zr 3.577 3.577 3.577
```

Output
Energy of formation from the pure elements ... 0.573 eV per atom
Density of states at the Fermi level ... 2.703 states/eV/atom
Total magnetic moment ... 0.00 μB/f.u.
Space-group type ... Fm-3m, No. 225

---

DFT (PBE) results for a relaxed Sr2LiIn3Sn4 crystal.

Structure (extended XYZ):
```
10
Lattice="5.056 0.000 0.000 0.000 5.056 0.000 0.000 0.000 11.816" Properties=species:S:1:pos:R:3 pbc="T T T"
Sn 2.528 2.528 0.000
Sn 2.528 0.000 7.406
Sn 0.000 2.528 4.409
Sn 0.000 0.000 0.000
Sr 2.528 0.000 3.040
Sr 0.000 2.528 8.776
Li 2.528 2.528 5.908
In 2.528 0.000 10.222
In 0.000 2.528 1.594
In 0.000 0.000 5.908
```

Output
Energy of formation from the pure elements ... -0.306 eV per atom
Density of states at the Fermi level ... 0.288 states/eV/atom
Total magnetic moment ... 0.00 μB/f.u.
Space-group type ... P-4m2, No. 115

---

DFT (PBE) results for a relaxed Pa2Sb2AuSe2 crystal.

Structure (extended XYZ):
```
7
Lattice="4.638 0.000 0.000 -2.319 4.017 0.000 0.000 0.000 12.473" Properties=species:S:1:pos:R:3 pbc="T T T"
Pa 2.319 1.339 4.222
Pa 0.000 2.678 8.251
Sb 0.000 0.000 9.870
Sb 0.000 0.000 2.602
Se 2.319 1.339 7.229
Se 0.000 2.678 5.244
Au 0.000 0.000 0.000
```

Output
Density of states at the Fermi level ... 0.948 states/eV/atom
Total magnetic moment ... 1.07 μB/f.u.
Uncorrected formation energy ... -0.544 eV/atom
Space-group type ... P-3m1, No. 164

---

DFT (PBE) results for a relaxed Al3FeAs crystal.

Structure (extended XYZ):
```
5
Lattice="-1.674 -4.392 1.121 2.248 -1.843 -3.861 3.937 -0.816 2.682" Properties=species:S:1:pos:R:3 pbc="T T T"
Al 1.968 -0.408 1.341
Al 1.124 -0.921 -1.930
Al -0.837 -2.196 0.561
As 0.000 0.000 0.000
Fe 2.255 -3.525 -0.029
```

Output
Energy of formation from the pure elements ... 1.008 eV per atom
Density of states at the Fermi level ... 1.526 states/eV/atom
Total magnetic moment ... 3.02 μB/f.u.
Space-group type ... Pm-3m, No. 221

---

DFT (PBE) results for a relaxed Ho4Tl3Ag crystal.

Structure (extended XYZ):
```
8
Lattice="3.612 0.000 0.000 0.000 3.612 0.000 0.000 0.000 16.060" Properties=species:S:1:pos:R:3 pbc="T T T"
Ho 0.000 0.000 1.805
Ho 0.000 0.000 10.121
Ho 0.000 0.000 5.939
Ho 0.000 0.000 14.255
Tl 1.806 1.806 12.198
Tl 1.806 1.806 8.030
Tl 1.806 1.806 3.863
Ag 1.806 1.806 0.000
```

Output
Energy of formation from the pure elements ... -0.332 eV per atom
Density of states at the Fermi level ... 0.769 states/eV/atom
Total magnetic moment ... 0.03 μB/f.u.
Space-group type ... P4/mmm, No. 123

---

DFT (PBE) results for a relaxed CrCdCl crystal.

Structure (extended XYZ):
```
3
Lattice="6.532 0.006 -0.006 5.727 3.175 -0.007 0.804 0.273 3.157" Properties=species:S:1:pos:R:3 pbc="T T T"
Cd 11.948 3.101 0.073
Cr 4.499 1.211 2.135
Cl 8.876 2.322 0.923
```

Output
Density of states at the Fermi level ... 0.461 states/eV/atom
Total magnetic moment ... 4.40 μB/f.u.
Uncorrected formation energy ... -0.006 eV/atom
Space-group type ... Fmm2, No. 42

---

DFT (PBE) results for a relaxed Li2AlCrH8 crystal.

Structure (extended XYZ):
```
12
Lattice="-2.870 -0.341 0.739 0.627 -4.539 0.348 1.341 0.604 5.489" Properties=species:S:1:pos:R:3 pbc="T T T"
Li -0.094 -1.977 4.750
Li -0.808 -2.300 1.826
H -0.617 -0.930 3.195
H 0.779 -3.319 1.503
H -2.418 -1.289 2.059
H -1.311 -1.063 0.439
H 0.409 -3.213 6.137
H 1.516 -2.987 4.517
H -0.285 -3.346 3.381
H -1.681 -0.957 5.073
Cr 0.000 0.000 0.000
Al 0.671 0.302 2.745
```

Output
Density of states at the Fermi level ... 0.108 states/eV/atom
Total magnetic moment ... 1.02 μB/f.u.
E ... -45.0 eV per cell
Space-group type ... Pmmm, No. 47

---

DFT (PBE) results for a relaxed La3TaF crystal.

Structure (extended XYZ):
```
5
Lattice="5.052 0.000 0.000 0.000 5.052 0.000 0.000 0.000 5.052" Properties=species:S:1:pos:R:3 pbc="T T T"
F 0.000 0.000 0.000
La 2.526 0.000 0.000
La 0.000 2.526 0.000
La 0.000 0.000 2.526
Ta 2.526 2.526 2.526
```

Output
Density of states at the Fermi level ... 1.135 states/eV/atom
Total magnetic moment ... 0.00 μB/f.u.
Uncorrected formation energy ... -0.631 eV/atom
Space-group type ... Pm-3m, No. 221

---

DFT (PBE) results for a relaxed HfZr3Zn crystal.

Structure (extended XYZ):
```
10
Lattice="-2.263 1.589 1.356 -3.014 -3.912 -0.446 5.396 -5.523 11.974" Properties=species:S:1:pos:R:3 pbc="T T T"
Zr -2.315 -3.334 3.538
Zr 0.434 -5.923 7.661
Zr 2.434 -4.513 9.347
Zr 3.300 -5.472 11.913
Zr -0.315 -1.925 5.224
Zr -3.180 -2.375 0.971
Zn -0.430 -4.964 5.095
Zn 0.550 -2.883 7.789
Hf -0.079 -1.726 1.890
Hf 0.198 -6.121 10.995
```

Output
Energy of formation from the pure elements ... 0.018 eV per atom
Density of states at the Fermi level ... 0.802 states/eV/atom
Total magnetic moment ... 0.00 μB/f.u.
Space-group type ... Cmcm, No. 63